(1)
# KCd4PdAu2 | Alexandria | PBE | relaxed
# DOS at the Fermi energy = 3.850 states/eV/f.u.
# Spin magnetization = 0.00 μB/cell
# Final energy = -17.66 eV/f.u.
data_KCd4PdAu2
_chemical_formula_sum 'K3 Cd12 Pd3 Au6'
_space_group_name_H-M_alt 'R -3 m'
_space_group_IT_number 166
_space_group_name_Hall '-R 3 2"'
_cell_length_a 4.9592
_cell_length_b 4.9592
_cell_length_c 24.0827
_cell_angle_alpha 90.00
_cell_angle_beta 90.00
_cell_angle_gamma 120.00
loop_
_atom_site_label
_atom_site_type_symbol
_atom_site_fract_x
_atom_site_fract_y
_atom_site_fract_z
_atom_site_occupancy
K1 K 0.0000 0.0000 0.0000 1
Cd1 Cd 0.0000 0.0000 0.1393 1
Cd2 Cd 0.0000 0.0000 0.3870 1
Pd1 Pd 0.0000 0.0000 0.5000 1
Au1 Au 0.0000 0.0000 0.2595 1

(2)
# HfZnSbTe2 | Alexandria | PBE | relaxed
# DOS at the Fermi energy = 4.350 states/eV/f.u.
# Spin magnetization = 0.00 μB/cell
# Final energy = -20.99 eV/f.u.
# Formation energy (no corrections) = 129 meV/atom
data_HfZnSbTe2
_chemical_formula_sum 'Hf1 Zn1 Sb1 Te2'
_space_group_name_H-M_alt 'P 4/m m m'
_space_group_IT_number 123
_space_group_name_Hall '-P 4 2'
_cell_length_a 5.529
_cell_length_b 5.529
_cell_length_c 5.633
_cell_angle_alpha 90.00
_cell_angle_beta 90.00
_cell_angle_gamma 90.00
loop_
_atom_site_label
_atom_site_type_symbol
_atom_site_fract_x
_atom_site_fract_y
_atom_site_fract_z
_atom_site_occupancy
Hf1 Hf 0.000 0.000 0.000 1
Zn1 Zn 0.500 0.500 0.500 1
Sb1 Sb 0.000 0.000 0.500 1
Te1 Te 0.000 0.500 0.000 1

(3)
# PaHgBi2O8 | Alexandria | PBE | relaxed
# DOS at the Fermi energy = 4.033 states/eV/f.u.
# Spin magnetization = 0.00 μB/cell
# Final energy = -73.17 eV/f.u.
# Formation energy (no corrections) = -1329 meV/atom
data_PaHgBi2O8
_chemical_formula_sum 'Pa2 Hg2 Bi4 O16'
_space_group_name_H-M_alt 'I -4 m 2'
_space_group_IT_number 119
_space_group_name_Hall 'I -4 -2'
_cell_length_a 7.397
_cell_length_b 7.397
_cell_length_c 7.342
_cell_angle_alpha 90.00
_cell_angle_beta 90.00
_cell_angle_gamma 90.00
loop_
_atom_site_label
_atom_site_type_symbol
_atom_site_fract_x
_atom_site_fract_y
_atom_site_fract_z
_atom_site_occupancy
Pa1 Pa 0.000 0.000 0.000 1
Hg1 Hg 0.000 0.500 0.250 1
Bi1 Bi 0.000 0.000 0.500 1
Bi2 Bi 0.000 0.500 0.750 1
O1 O 0.000 0.188 0.290 1
O2 O 0.000 0.284 0.940 1

(4)
# Eu2HoMg | Alexandria | PBE | relaxed
# DOS at the Fermi energy = 4.700 states/eV/f.u.
# Spin magnetization = 15.29 μB/cell
# Final energy = -26.54 eV/f.u.
data_Eu2HoMg
_chemical_formula_sum 'Eu2 Ho1 Mg1'
_space_group_name_H-M_alt 'P 4/m m m'
_space_group_IT_number 123
_space_group_name_Hall '-P 4 2'
_cell_length_a 3.726
_cell_length_b 3.726
_cell_length_c 9.818
_cell_angle_alpha 90.00
_cell_angle_beta 90.00
_cell_angle_gamma 90.00
loop_
_atom_site_label
_atom_site_type_symbol
_atom_site_fract_x
_atom_site_fract_y
_atom_site_fract_z
_atom_site_occupancy
Eu1 Eu 0.000 0.000 0.234 1
Ho1 Ho 0.500 0.500 0.500 1
Mg1 Mg 0.500 0.500 0.000 1

(5)
# Ca2VRh | Alexandria | PBE | relaxed
# DOS at the Fermi energy = 3.638 states/eV/f.u.
# Spin magnetization = 16.44 μB/cell
# Final energy = -19.41 eV/f.u.
data_Ca2VRh
_chemical_formula_sum 'Ca8 V4 Rh4'
_space_group_name_H-M_alt 'F m -3 m'
_space_group_IT_number 225
_space_group_name_Hall '-F 4 2 3'
_cell_length_a 7.105
_cell_length_b 7.105
_cell_length_c 7.105
_cell_angle_alpha 90.00
_cell_angle_beta 90.00
_cell_angle_gamma 90.00
loop_
_atom_site_label
_atom_site_type_symbol
_atom_site_fract_x
_atom_site_fract_y
_atom_site_fract_z
_atom_site_occupancy
Ca1 Ca 0.250 0.250 0.250 1
V1 V 0.000 0.000 0.000 1
Rh1 Rh 0.000 0.000 0.500 1

(6)
# ZrTa2Tc | Alexandria | PBE | relaxed
# DOS at the Fermi energy = 5.509 states/eV/f.u.
# Spin magnetization = 0.00 μB/cell
# Final energy = -42.73 eV/f.u.
data_ZrTa2Tc
_chemical_formula_sum 'Zr2 Ta4 Tc2'
_space_group_name_H-M_alt 'C 1 2/m 1'
_space_group_IT_number 12
_cell_length_a 5.572
_cell_length_b 9.280
_cell_length_c 2.963
_cell_angle_alpha 90.00
_cell_angle_beta 109.97
_cell_angle_gamma 90.00
loop_
_space_group_symop_operation_xyz
'x,y,z'
'-x,-y,-z'
'-x,y,-z'
'x,-y,z'
'x+1/2,y+1/2,z'
'-x+1/2,-y+1/2,-z'
'-x+1/2,y+1/2,-z'
'x+1/2,-y+1/2,z'
loop_
_atom_site_label
_atom_site_type_symbol
_atom_site_fract_x
_atom_site_fract_y
_atom_site_fract_z
_atom_site_occupancy
Zr1 Zr 0.000 0.000 0.000 1
Ta1 Ta 0.250 0.250 0.500 1
Tc1 Tc 0.000 0.500 0.000 1

(7)
# RbLa2HgSe4 | Alexandria | PBE | relaxed
# DOS at the Fermi energy = 3.228 states/eV/f.u.
# Spin magnetization = 0.00 μB/cell
# Final energy = -36.50 eV/f.u.
# Formation energy (no corrections) = -1429 meV/atom
data_RbLa2HgSe4
_chemical_formula_sum 'Rb4 La8 Hg4 Se16'
_space_group_name_H-M_alt 'C m c m'
_space_group_IT_number 63
_space_group_name_Hall '-C 2c 2'
_cell_length_a 4.537
_cell_length_b 14.815
_cell_length_c 15.347
_cell_angle_alpha 90.00
_cell_angle_beta 90.00
_cell_angle_gamma 90.00
loop_
_atom_site_label
_atom_site_type_symbol
_atom_site_fract_x
_atom_site_fract_y
_atom_site_fract_z
_atom_site_occupancy
Rb1 Rb 0.000 0.124 0.250 1
La1 La 0.000 0.373 0.061 1
Hg1 Hg 0.000 0.151 0.750 1
Se1 Se 0.000 0.000 0.000 1
Se2 Se 0.000 0.262 0.603 1
Se3 Se 0.000 0.449 0.250 1

(8)
# LiZnBr | Alexandria | PBE | relaxed
# DOS at the Fermi energy = 0.000 states/eV/f.u.
# Spin magnetization = 0.00 μB/cell
# Final energy = -6.32 eV/f.u.
# Formation energy (no corrections) = -487 meV/atom
data_LiZnBr
_chemical_formula_sum 'Li4 Zn4 Br4'
_space_group_name_H-M_alt 'F -4 3 m'
_space_group_IT_number 216
_space_group_name_Hall 'F -4 2 3'
_cell_length_a 6.761
_cell_length_b 6.761
_cell_length_c 6.761
_cell_angle_alpha 90.00
_cell_angle_beta 90.00
_cell_angle_gamma 90.00
loop_
_atom_site_label
_atom_site_type_symbol
_atom_site_fract_x
_atom_site_fract_y
_atom_site_fract_z
_atom_site_occupancy
Li1 Li 0.000 0.000 0.000 1
Zn1 Zn 0.250 0.250 0.250 1
Br1 Br 0.250 0.250 0.750 1

(9)
# CdNi3H | Alexandria | PBE | relaxed
# DOS at the Fermi energy = 6.824 states/eV/f.u.
# Spin magnetization = 0.98 μB/cell
# Final energy = -12.13 eV/f.u.
data_CdNi3H
_chemical_formula_sum 'Cd1 Ni3 H1'
_space_group_name_H-M_alt 'P m -3 m'
_space_group_IT_number 221
_space_group_name_Hall '-P 4 2 3'
_cell_length_a 4.744
_cell_length_b 4.744
_cell_length_c 4.744
_cell_angle_alpha 90.00
_cell_angle_beta 90.00
_cell_angle_gamma 90.00
loop_
_atom_site_label
_atom_site_type_symbol
_atom_site_fract_x
_atom_site_fract_y
_atom_site_fract_z
_atom_site_occupancy
Cd1 Cd 0.000 0.000 0.000 1
Ni1 Ni 0.000 0.000 0.500 1
H1 H 0.500 0.500 0.500 1

(10)
# Tm4PPbS2 | Alexandria | PBE | relaxed
# DOS at the Fermi energy = 2.335 states/eV/f.u.
# Spin magnetization = 0.00 μB/cell
# Final energy = -46.62 eV/f.u.
# Formation energy (no corrections) = -1420 meV/atom
data_Tm4PPbS2
_chemical_formula_sum 'Tm4 P1 Pb1 S2'
_space_group_name_H-M_alt 'P 1 2/m 1'
_space_group_IT_number 10
_cell_length_a 6.974
_cell_length_b 3.940
_cell_length_c 7.087
_cell_angle_alpha 90.00
_cell_angle_beta 109.09
_cell_angle_gamma 90.00
loop_
_space_group_symop_operation_xyz
'x,y,z'
'-x,-y,-z'
'-x,y,-z'
'x,-y,z'
loop_
_atom_site_label
_atom_site_type_symbol
_atom_site_fract_x
_atom_site_fract_y
_atom_site_fract_z
_atom_site_occupancy
Tm1 Tm 0.234 0.000 0.225 1
Tm2 Tm 0.250 0.500 0.764 1
P1 P 0.500 0.000 0.000 1
Pb1 Pb 0.500 0.500 0.500 1
S1 S 0.000 0.000 0.500 1
S2 S 0.000 0.500 0.000 1

(11)
# TbPu2Sn9 | Alexandria | PBE | relaxed
# DOS at the Fermi energy = 20.807 states/eV/f.u.
# Spin magnetization = 11.09 μB/cell
# Final energy = -73.96 eV/f.u.
data_TbPu2Sn9
_chemical_formula_sum 'Tb1 Pu2 Sn9'
_space_group_name_H-M_alt 'P 4/m m m'
_space_group_IT_number 123
_space_group_name_Hall '-P 4 2'
_cell_length_a 4.696
_cell_length_b 4.696
_cell_length_c 13.980
_cell_angle_alpha 90.00
_cell_angle_beta 90.00
_cell_angle_gamma 90.00
loop_
_atom_site_label
_atom_site_type_symbol
_atom_site_fract_x
_atom_site_fract_y
_atom_site_fract_z
_atom_site_occupancy
Tb1 Tb 0.000 0.000 0.000 1
Pu1 Pu 0.000 0.000 0.334 1
Sn1 Sn 0.000 0.500 0.168 1
Sn2 Sn 0.000 0.500 0.500 1
Sn3 Sn 0.500 0.500 0.000 1
Sn4 Sn 0.500 0.500 0.334 1

(12)
# NdThNi2 | Alexandria | PBE | relaxed
# DOS at the Fermi energy = 4.108 states/eV/f.u.
# Spin magnetization = 0.00 μB/cell
# Final energy = -25.26 eV/f.u.
data_NdThNi2
_chemical_formula_sum 'Nd1 Th1 Ni2'
_space_group_name_H-M_alt 'P 1 m 1'
_space_group_IT_number 6
_cell_length_a 3.712
_cell_length_b 4.281
_cell_length_c 5.812
_cell_angle_alpha 90.00
_cell_angle_beta 108.31
_cell_angle_gamma 90.00
loop_
_space_group_symop_operation_xyz
'x,y,z'
'x,-y,z'
loop_
_atom_site_label
_atom_site_type_symbol
_atom_site_fract_x
_atom_site_fract_y
_atom_site_fract_z
_atom_site_occupancy
Nd1 Nd 0.000 0.000 0.000 1
Th1 Th 0.736 0.500 0.465 1
Ni1 Ni 0.278 0.000 0.550 1
Ni2 Ni 0.432 0.500 0.862 1

Among the records above, which one has the highest DOS at the Fermi energy? TbPu2Sn9

Among the records above, which one has the highest spin magnetization? Ca2VRh